First-principles (PBE with a Hubbard U) data for a geometry-optimized TmMnIn4O8 structure, as listed in Alexandria via LeMat-Bulk.

Cell lengths 6.5706, 6.5706, 16.2529 Å; angles 90.00, 90.00, 120.00 degrees
With the nearest neighbours (Å) after each atom.
Space group R3m (No. 160, hexagonal axes)
Symmetry-distinct sites (fractional):
1 Tm 0.0000 0.0000 0.0000 x3  6 O 2.24-2.27
2 Mn 0.0000 0.0000 0.6257 x3  4 O 2.14-2.21
3 In 0.0000 0.0000 0.3762 x3  4 O 2.18-2.22
4 In 0.0026 0.5013 0.5020 x9  6 O 2.23-2.25
5 O 0.0000 0.0000 0.2397 x3  4 In 2.22-2.23
6 O 0.0000 0.0000 0.7617 x3  1 Mn 2.21, 3 In 2.23
7 O 0.0258 0.5129 0.7557 x9  3 In 2.18-2.25, 1 Tm 2.27
8 O 0.1779 0.3559 0.5822 x9  1 Mn 2.14, 1 Tm 2.24, 2 In 2.24

Calculated values
The magnetization comes out at 0.36 μB per atom. The value obtained for the raw total energy is -88.6 eV per formula unit. The calculation puts the density at 6.65 g/cm³.